PBE Y3Hf3CoTe2, relaxed; energy above the most stable polymorph in this dataset = 0.286 eV/atom; space-group type = No. 189
1.0
8.1323 0.0000 0.0000
-4.0662 7.0428 0.0000
0.0000 0.0000 3.6244
Te Co Y Hf
2 1 3 3
direct
0.3333 0.6667 0.5000 Te
0.6667 0.3333 0.5000 Te
0.0000 0.0000 0.0000 Co
0.2455 0.2455 0.5000 Y
0.0000 0.7545 0.5000 Y
0.7545 0.0000 0.5000 Y
0.5969 0.5969 0.0000 Hf
0.0000 0.4031 0.0000 Hf
0.4031 0.0000 0.0000 Hf

---

PBE HfThCo, relaxed; energy above the most stable polymorph in this dataset = 0.902 eV/atom; energy of formation from the pure elements = 93.76 kJ/mol of atoms; space-group type = No. 216
1.0
0.0000 3.2378 3.2378
3.2378 0.0000 3.2378
3.2378 3.2378 0.0000
Th Hf Co
1 1 1
direct
0.0000 0.0000 0.0000 Th
0.2500 0.2500 0.2500 Hf
0.7500 0.7500 0.7500 Co